Entry 1:
Here is an optimized crystal structure of MnTl2Ag2Br6 from Alexandria. Energies are from PBE.

Cell and atoms, written as POSCAR:
```
MnTl2Ag2Br6
1.0
7.102 -3.839 0.000
7.102 3.839 0.000
-3.993 0.000 6.458
Mn Tl Ag Br
1 2 2 6
Direct
0.000 0.000 0.000 Mn
0.247 0.247 0.796 Tl
0.753 0.753 0.204 Tl
0.427 0.427 0.584 Ag
0.573 0.573 0.416 Ag
0.182 0.700 0.180 Br
0.214 0.214 0.325 Br
0.300 0.818 0.820 Br
0.700 0.182 0.180 Br
0.786 0.786 0.675 Br
0.818 0.300 0.820 Br
```

The calculation puts the total energy at -3.299 eV per atom.



Entry 2:
Here is an optimized crystal structure of Mn2TlAgBr6 from Alexandria. Energies are from PBE.

Cell and atoms, written as POSCAR:
```
Mn2TlAgBr6
1.0
7.180 -7.008 0.000
7.180 7.008 0.000
-2.644 0.000 7.301
Mn Tl Ag Br
4 2 2 12
Direct
0.117 0.263 0.205 Mn
0.263 0.117 0.705 Mn
0.737 0.883 0.295 Mn
0.883 0.737 0.795 Mn
0.383 0.617 0.750 Tl
0.617 0.383 0.250 Tl
0.267 0.733 0.250 Ag
0.733 0.267 0.750 Ag
0.068 0.192 0.478 Br
0.106 0.638 0.924 Br
0.192 0.068 0.978 Br
0.298 0.452 0.312 Br
0.362 0.894 0.576 Br
0.452 0.298 0.812 Br
0.548 0.702 0.188 Br
0.638 0.106 0.424 Br
0.702 0.548 0.688 Br
0.808 0.932 0.022 Br
0.894 0.362 0.076 Br
0.932 0.808 0.522 Br
```

The calculation puts the total energy at -4.045 eV per atom.



Entry 3:
Here is an optimized crystal structure of Mn2Tl3AgBr9 from Alexandria. Energies are from PBE.

Cell and atoms, written as POSCAR:
```
Mn2Tl3AgBr9
1.0
7.535 0.000 0.000
-3.768 6.526 0.000
0.000 0.000 9.266
Mn Tl Ag Br
2 3 1 9
Direct
0.333 0.667 0.164 Mn
0.667 0.333 0.836 Mn
0.000 0.000 0.000 Tl
0.333 0.667 0.639 Tl
0.667 0.333 0.361 Tl
0.000 0.000 0.500 Ag
0.000 0.500 0.000 Br
0.172 0.344 0.323 Br
0.172 0.828 0.323 Br
0.344 0.172 0.677 Br
0.500 0.000 0.000 Br
0.500 0.500 0.000 Br
0.656 0.828 0.323 Br
0.828 0.172 0.677 Br
0.828 0.656 0.677 Br
```

The calculation puts the total energy at -3.588 eV per atom.



Entry 4:
Here is an optimized crystal structure of Mn2Tl3AgBr8 from Alexandria. Energies are from PBE.

Cell and atoms, written as POSCAR:
```
Mn2Tl3AgBr8
1.0
7.774 0.000 0.000
-3.887 6.733 0.000
0.000 0.000 9.370
Mn Tl Ag Br
2 3 1 8
Direct
0.333 0.667 0.197 Mn
0.667 0.333 0.803 Mn
0.000 0.000 0.000 Tl
0.333 0.667 0.604 Tl
0.667 0.333 0.396 Tl
0.000 0.000 0.500 Ag
0.164 0.327 0.305 Br
0.164 0.836 0.305 Br
0.327 0.164 0.695 Br
0.333 0.667 0.937 Br
0.667 0.333 0.063 Br
0.673 0.836 0.305 Br
0.836 0.164 0.695 Br
0.836 0.673 0.695 Br
```

The calculation puts the total energy at -3.687 eV per atom.



Entry 5:
Here is an optimized crystal structure of MnTl3Ag3Br8 from Alexandria. Energies are from PBE.

Cell and atoms, written as POSCAR:
```
MnTl3Ag3Br8
1.0
7.337 -4.226 0.000
7.337 4.226 0.000
-4.878 0.000 7.657
Mn Tl Ag Br
1 3 3 8
Direct
0.000 0.000 0.000 Mn
0.000 0.000 0.500 Tl
0.000 0.500 0.500 Tl
0.500 0.000 0.500 Tl
0.000 0.500 0.000 Ag
0.500 0.000 0.000 Ag
0.500 0.500 0.000 Ag
0.221 0.221 0.197 Br
0.222 0.755 0.197 Br
0.245 0.778 0.803 Br
0.266 0.266 0.798 Br
0.734 0.734 0.202 Br
0.755 0.222 0.197 Br
0.778 0.245 0.803 Br
0.779 0.779 0.803 Br
```

The calculation puts the total energy at -3.158 eV per atom.



Entry 6:
Here is an optimized crystal structure of MnTlAgBr5 from Alexandria. Energies are from PBE.

Cell and atoms, written as POSCAR:
```
MnTlAgBr5
1.0
4.334 -6.275 0.000
4.334 6.275 0.000
-3.686 0.000 9.517
Mn Tl Ag Br
2 2 2 10
Direct
0.000 0.000 0.000 Mn
0.000 0.000 0.500 Mn
0.326 0.674 0.750 Tl
0.674 0.326 0.250 Tl
0.312 0.688 0.250 Ag
0.688 0.312 0.750 Ag
0.055 0.945 0.750 Br
0.109 0.721 0.430 Br
0.254 0.348 0.065 Br
0.279 0.891 0.070 Br
0.348 0.254 0.565 Br
0.652 0.746 0.435 Br
0.721 0.109 0.930 Br
0.746 0.652 0.935 Br
0.891 0.279 0.570 Br
0.945 0.055 0.250 Br
```

The calculation puts the total energy at -3.450 eV per atom.



Entry 7:
Here is an optimized crystal structure of MnTlAgBr6 from Alexandria. Energies are from PBE.

Cell and atoms, written as POSCAR:
```
MnTlAgBr6
1.0
7.075 0.000 0.000
-3.537 6.127 0.000
0.000 0.000 6.865
Mn Tl Ag Br
1 1 1 6
Direct
0.000 0.000 0.000 Mn
0.333 0.667 0.500 Tl
0.667 0.333 0.000 Ag
0.294 0.019 0.211 Br
0.294 0.275 0.789 Br
0.725 0.019 0.789 Br
0.725 0.706 0.211 Br
0.981 0.275 0.211 Br
0.981 0.706 0.789 Br
```

The calculation puts the total energy at -3.262 eV per atom.



Entry 8:
Here is an optimized crystal structure of MnTlAg2Br6 from Alexandria. Energies are from PBE.

Cell and atoms, written as POSCAR:
```
MnTlAg2Br6
1.0
6.934 0.000 0.000
2.853 6.816 0.000
2.723 0.050 6.995
Mn Tl Ag Br
1 1 2 6
Direct
0.000 0.000 0.000 Mn
0.919 0.612 0.669 Tl
0.332 0.996 0.400 Ag
0.415 0.348 0.756 Ag
0.085 0.281 0.044 Br
0.142 0.827 0.258 Br
0.343 0.761 0.734 Br
0.418 0.310 0.410 Br
0.745 0.824 0.092 Br
0.843 0.182 0.747 Br
```

The calculation puts the total energy at -3.276 eV per atom.



Entry 9:
Here is an optimized crystal structure of MnTlAg2Br8 from Alexandria. Energies are from PBE.

Cell and atoms, written as POSCAR:
```
MnTlAg2Br8
1.0
6.683 0.000 0.000
0.784 7.134 0.000
0.025 0.018 8.135
Mn Tl Ag Br
1 1 2 8
Direct
0.000 0.000 0.000 Mn
0.000 0.000 0.500 Tl
0.499 0.499 0.758 Ag
0.501 0.501 0.242 Ag
0.199 0.145 0.205 Br
0.199 0.145 0.794 Br
0.280 0.677 0.000 Br
0.300 0.670 0.500 Br
0.700 0.330 0.500 Br
0.720 0.323 0.000 Br
0.801 0.855 0.206 Br
0.801 0.855 0.795 Br
```

The calculation puts the total energy at -3.008 eV per atom.



Entry 10:
Here is an optimized crystal structure of MnTlAgBr4 from Alexandria. Energies are from PBE.

Cell and atoms, written as POSCAR:
```
MnTlAgBr4
1.0
6.618 0.000 0.000
0.000 7.788 0.000
-2.022 0.000 8.800
Mn Tl Ag Br
2 2 2 8
Direct
0.232 0.250 0.321 Mn
0.768 0.750 0.679 Mn
0.218 0.750 0.046 Tl
0.782 0.250 0.954 Tl
0.145 0.750 0.514 Ag
0.855 0.250 0.486 Ag
0.033 0.507 0.718 Br
0.033 0.993 0.718 Br
0.352 0.250 0.080 Br
0.488 0.250 0.566 Br
0.512 0.750 0.434 Br
0.648 0.750 0.920 Br
0.967 0.007 0.282 Br
0.967 0.493 0.282 Br
```

The calculation puts the total energy at -3.667 eV per atom.



Entry 11:
Here is an optimized crystal structure of MnTl2AgBr5 from Alexandria. Energies are from PBE.

Cell and atoms, written as POSCAR:
```
MnTl2AgBr5
1.0
2.101 -9.993 0.000
2.101 9.993 0.000
0.000 0.000 13.741
Mn Tl Ag Br
2 4 2 10
Direct
0.215 0.785 0.500 Mn
0.785 0.215 0.000 Mn
0.117 0.883 0.168 Tl
0.128 0.872 0.786 Tl
0.872 0.128 0.286 Tl
0.883 0.117 0.668 Tl
0.438 0.562 0.909 Ag
0.562 0.438 0.409 Ag
0.083 0.917 0.528 Br
0.280 0.720 0.133 Br
0.295 0.705 0.866 Br
0.346 0.654 0.486 Br
0.496 0.504 0.247 Br
0.504 0.496 0.747 Br
0.654 0.346 0.986 Br
0.705 0.295 0.366 Br
0.720 0.280 0.633 Br
0.917 0.083 0.028 Br
```

The calculation puts the total energy at -3.497 eV per atom.



Entry 12:
Here is an optimized crystal structure of AgMo3Br from Alexandria. Energies are from PBE.

Cell and atoms, written as POSCAR:
```
AgMo3Br
1.0
5.156 0.000 0.000
0.000 5.156 0.000
0.000 0.000 5.156
Ag Mo Br
1 3 1
Direct
0.000 0.000 0.000 Ag
0.000 0.000 0.500 Mo
0.000 0.500 0.000 Mo
0.500 0.000 0.000 Mo
0.500 0.500 0.500 Br
```

The calculation puts the total energy at -4.904 eV per atom. As for the offset from the most stable computed form: 893 meV per atom.